1.
Below is crystalline CuMoW3 at its relaxed geometry, with properties calculated at the PBE-GGA level.

a = 4.7145 Å, b = 4.7145 Å, c = 4.7145 Å
α = 90.00°, β = 90.00°, γ = 90.00°
Fractional positions:
W 0.0000 0.5000 0.0000
W 0.5000 0.0000 0.0000
W 0.0000 0.0000 0.5000
Cu 0.5000 0.5000 0.5000
Mo 0.0000 0.0000 0.0000

Values from the calculation:
**Formation enthalpy at 0 K**: 2.27 eV per atom
**Spin magnetization**: 0.00 μB/f.u.


2.
Below is crystalline CuMoW2 at its relaxed geometry, with properties calculated at the PBE-GGA level.

a = 4.6317 Å, b = 4.6317 Å, c = 4.6317 Å
α = 127.29°, β = 127.29°, γ = 77.79°
Fractional positions:
W 0.0000 0.0000 0.0000
W 0.2500 0.7500 0.5000
Mo 0.7500 0.2500 0.5000
Cu 0.5000 0.5000 0.0000

Values from the calculation:
**Formation enthalpy at 0 K**: 0.33 eV per atom
**Spin magnetization**: 0.00 μB/f.u.


3.
Below is crystalline CuMoW2 at its relaxed geometry, with properties calculated at the PBE-GGA level.

a = 2.6261 Å, b = 4.2278 Å, c = 5.5503 Å
α = 90.00°, β = 90.00°, γ = 90.00°
Fractional positions:
W 0.0000 0.0000 0.9998
W 0.5000 0.5000 0.2579
Cu 0.0000 0.0000 0.4999
Mo 0.5000 0.5000 0.7424

Values from the calculation:
**Formation enthalpy at 0 K**: 0.34 eV per atom
**Spin magnetization**: 0.00 μB/f.u.


4.
Below is crystalline CuMoW2 at its relaxed geometry, with properties calculated at the PBE-GGA level.

a = 2.6586 Å, b = 2.6586 Å, c = 8.6610 Å
α = 90.00°, β = 90.00°, γ = 90.00°
Fractional positions:
W 0.0000 0.0000 0.0002
W 0.5000 0.5000 0.2670
Cu 0.0000 0.0000 0.4992
Mo 0.5000 0.5000 0.7336

Values from the calculation:
**Formation enthalpy at 0 K**: 0.32 eV per atom
**Spin magnetization**: 0.00 μB/f.u.


5.
Below is crystalline CuMoW3 at its relaxed geometry, with properties calculated at the PBE-GGA level.

a = 4.4701 Å, b = 4.4701 Å, c = 4.4701 Å
α = 90.00°, β = 90.00°, γ = 90.00°
Fractional positions:
W 0.0000 0.5000 0.0000
W 0.5000 0.0000 0.0000
W 0.0000 0.0000 0.5000
Mo 0.5000 0.5000 0.5000
Cu 0.0000 0.0000 0.0000

Values from the calculation:
**Formation enthalpy at 0 K**: 1.88 eV per atom
**Spin magnetization**: 0.00 μB/f.u.


6.
Below is crystalline CuMoW2 at its relaxed geometry, with properties calculated at the PBE-GGA level.

a = 7.0194 Å, b = 7.0194 Å, c = 5.6352 Å
α = 51.48°, β = 51.48°, γ = 90.00°
Fractional positions:
W 0.1285 0.6250 0.2500
W 0.6215 0.1250 0.2500
W 0.8750 0.8715 0.7500
W 0.3750 0.3785 0.7500
Mo 0.0000 0.0000 0.0000
Mo 0.7500 0.2500 0.5000
Cu 0.2500 0.7500 0.5000
Cu 0.5000 0.5000 0.0000

Values from the calculation:
**Formation enthalpy at 0 K**: 1.00 eV per atom
**Spin magnetization**: 0.00 μB/f.u.


7.
Below is crystalline ZnCu2MoW at its relaxed geometry, with properties calculated at the PBE-GGA level.

a = 4.1768 Å, b = 4.7047 Å, c = 4.1768 Å
α = 90.00°, β = 90.00°, γ = 90.00°
Fractional positions:
Cu 0.0000 0.0000 0.5000
Cu 0.5000 0.0000 0.0000
Zn 0.0000 0.0000 0.0000
W 0.5000 0.5000 0.5000
Mo 0.0000 0.5000 0.0000

Values from the calculation:
**Formation enthalpy at 0 K**: 1.36 eV per atom
**Spin magnetization**: 0.00 μB/f.u.


8.
Below is crystalline YCuMo2 at its relaxed geometry, with properties calculated at the PBE-GGA level.

a = 5.4923 Å, b = 5.4923 Å, c = 4.5874 Å
α = 72.22°, β = 72.22°, γ = 33.72°
Fractional positions:
Mo 0.5191 0.5191 0.4474
Mo 0.9809 0.9809 0.0526
Cu 0.2500 0.2500 0.2500
Y 0.7500 0.7500 0.7500

Values from the calculation:
**Formation enthalpy at 0 K**: 0.36 eV per atom
**Spin magnetization**: 0.00 μB/f.u.


9.
Below is crystalline YCuMo2 at its relaxed geometry, with properties calculated at the PBE-GGA level.

a = 3.8011 Å, b = 3.8011 Å, c = 10.7459 Å
α = 79.81°, β = 79.81°, γ = 90.00°
Fractional positions:
Y 0.7500 0.2500 0.5000
Y 0.0000 0.0000 0.0000
Mo 0.6212 0.6250 0.2500
Mo 0.3750 0.8712 0.7500
Mo 0.8750 0.3788 0.7500
Mo 0.1288 0.1250 0.2500
Cu 0.5000 0.5000 0.0000
Cu 0.2500 0.7500 0.5000

Values from the calculation:
**Formation enthalpy at 0 K**: 0.60 eV per atom
**Spin magnetization**: 0.00 μB/f.u.


10.
Below is crystalline YCuMo at its relaxed geometry, with properties calculated at the PBE-GGA level.

a = 4.6305 Å, b = 4.6305 Å, c = 4.6305 Å
α = 60.00°, β = 60.00°, γ = 60.00°
Fractional positions:
Cu 0.0000 0.0000 0.0000
Y 0.2500 0.2500 0.2500
Mo 0.5000 0.5000 0.5000

Values from the calculation:
**Formation enthalpy at 0 K**: 1.31 eV per atom
**Spin magnetization**: 2.96 μB/f.u.


11.
Below is crystalline YCuMo2 at its relaxed geometry, with properties calculated at the PBE-GGA level.

a = 5.4342 Å, b = 5.4342 Å, c = 2.7451 Å
α = 90.00°, β = 90.00°, γ = 119.00°
Fractional positions:
Cu 0.0000 0.5000 0.5000
Mo 0.5000 0.5000 0.0000
Mo 0.0000 0.0000 0.0000
Y 0.5000 0.0000 0.5000

Values from the calculation:
**Formation enthalpy at 0 K**: 0.57 eV per atom
**Spin magnetization**: 0.00 μB/f.u.


12.
Below is crystalline YCuMo at its relaxed geometry, with properties calculated at the PBE-GGA level.

a = 3.1424 Å, b = 3.1424 Å, c = 6.7537 Å
α = 90.00°, β = 90.00°, γ = 120.00°
Fractional positions:
Cu 0.0000 0.0000 0.0246
Y 0.3333 0.6667 0.6665
Mo 0.6667 0.3333 0.3089

Values from the calculation:
**Formation enthalpy at 0 K**: 0.62 eV per atom
**Spin magnetization**: 0.00 μB/f.u.


13.
Below is crystalline YCuMo at its relaxed geometry, with properties calculated at the PBE-GGA level.

a = 4.2888 Å, b = 4.2888 Å, c = 3.8198 Å
α = 90.00°, β = 90.00°, γ = 120.00°
Fractional positions:
Cu 0.0000 0.0000 0.1666
Y 0.3333 0.6667 0.6667
Mo 0.6667 0.3333 0.1667

Values from the calculation:
**Formation enthalpy at 0 K**: 0.42 eV per atom
**Spin magnetization**: 1.27 μB/f.u.


14.
Below is crystalline YCuMo2 at its relaxed geometry, with properties calculated at the PBE-GGA level.

a = 5.2346 Å, b = 5.2346 Å, c = 5.2346 Å
α = 140.45°, β = 125.20°, γ = 69.66°
Fractional positions:
Mo 0.7758 0.2758 0.5000
Mo 0.9802 0.9802 0.0000
Cu 0.2369 0.7369 0.5000
Y 0.5071 0.5071 0.0000

Values from the calculation:
**Formation enthalpy at 0 K**: 0.37 eV per atom
**Spin magnetization**: 0.00 μB/f.u.


15.
Below is crystalline YCu2Mo at its relaxed geometry, with properties calculated at the PBE-GGA level.

a = 5.1716 Å, b = 5.1716 Å, c = 5.1716 Å
α = 135.22°, β = 135.22°, γ = 65.20°
Fractional positions:
Cu 0.0000 0.0000 0.0000
Cu 0.2500 0.7500 0.5000
Y 0.7500 0.2500 0.5000
Mo 0.5000 0.5000 0.0000

Values from the calculation:
**Formation enthalpy at 0 K**: 0.35 eV per atom
**Spin magnetization**: 0.56 μB/f.u.


16.
Below is crystalline YCu2Mo at its relaxed geometry, with properties calculated at the PBE-GGA level.

a = 4.5911 Å, b = 4.5911 Å, c = 4.5911 Å
α = 60.00°, β = 60.00°, γ = 60.00°
Fractional positions:
Cu 0.7500 0.7500 0.7500
Cu 0.2500 0.2500 0.2500
Y 0.0000 0.0000 0.0000
Mo 0.5000 0.5000 0.5000

Values from the calculation:
**Formation enthalpy at 0 K**: 0.29 eV per atom
**Spin magnetization**: 0.00 μB/f.u.


17.
Below is crystalline YCuMo2 at its relaxed geometry, with properties calculated at the PBE-GGA level.

a = 5.6480 Å, b = 5.6480 Å, c = 2.8201 Å
α = 79.34°, β = 79.34°, γ = 122.05°
Fractional positions:
Cu 0.0000 0.5000 0.5000
Mo 0.5000 0.5000 0.0000
Mo 0.0000 0.0000 0.0000
Y 0.5000 0.0000 0.5000

Values from the calculation:
**Formation enthalpy at 0 K**: 0.47 eV per atom
**Spin magnetization**: 0.00 μB/f.u.


18.
Below is crystalline YCu2Mo at its relaxed geometry, with properties calculated at the PBE-GGA level.

a = 4.3017 Å, b = 4.3017 Å, c = 5.2434 Å
α = 65.53°, β = 65.53°, γ = 60.23°
Fractional positions:
Cu 0.0433 0.0433 0.8701
Cu 0.4567 0.4567 0.6299
Mo 0.7500 0.7500 0.7500
Y 0.2500 0.2500 0.2500

Values from the calculation:
**Formation enthalpy at 0 K**: 0.23 eV per atom
**Spin magnetization**: 0.87 μB/f.u.


19.
Below is crystalline YCu2Mo at its relaxed geometry, with properties calculated at the PBE-GGA level.

a = 4.6231 Å, b = 4.6231 Å, c = 4.6231 Å
α = 60.00°, β = 60.00°, γ = 60.00°
Fractional positions:
Y 0.7500 0.7500 0.7500
Mo 0.5000 0.5000 0.5000
Cu 0.0000 0.0000 0.0000
Cu 0.2500 0.2500 0.2500

Values from the calculation:
**Formation enthalpy at 0 K**: 0.49 eV per atom
**Spin magnetization**: 2.95 μB/f.u.


20.
Below is crystalline YCuMo2 at its relaxed geometry, with properties calculated at the PBE-GGA level.

a = 3.2752 Å, b = 3.2752 Å, c = 6.7451 Å
α = 90.00°, β = 90.00°, γ = 90.00°
Fractional positions:
Cu 0.5000 0.5000 0.7897
Mo 0.5000 0.5000 0.2001
Mo 0.0000 0.0000 0.0059
Y 0.0000 0.0000 0.5043

Values from the calculation:
**Formation enthalpy at 0 K**: 0.15 eV per atom
**Spin magnetization**: 0.00 μB/f.u.